Bi10PdAu4 | the Alexandria database | GGA-PBE | relaxed; symmetry = R-3m; formation energy = -0.093 eV/atom
1.0
-2.497 4.096 -1.445
-4.966 0.252 0.613
0.160 9.466 17.870
Bi Pd Au
10 1 4
Direct
0.952 0.952 0.144 Bi
0.150 0.150 0.551 Bi
0.551 0.551 0.348 Bi
0.348 0.348 0.955 Bi
0.749 0.749 0.754 Bi
0.652 0.652 0.045 Bi
0.850 0.850 0.449 Bi
0.251 0.251 0.246 Bi
0.048 0.048 0.856 Bi
0.449 0.449 0.652 Bi
0.000 0.000 0.000 Pd
0.399 0.399 0.803 Au
0.799 0.799 0.602 Au
0.201 0.201 0.398 Au
0.601 0.601 0.197 Au